Entry 1:
15
Lattice="-3.466 5.365 0.953 2.078 -3.441 5.053 4.977 3.847 -3.554" Properties=species:S:1:pos:R:3 comment="Rb3PtRh3O8 (PBE, optimized geometry)" total_energy_ry_per_atom=-0.4149 formation_energy_uncorrected_ev_per_atom=-0.934 pbc="T T T"
Rb 0.000 0.000 0.000
Rb 1.039 -1.721 2.527
Rb -0.694 0.962 3.003
Pt 2.489 1.923 -1.777
Rh 0.756 4.606 -1.301
Rh 1.795 2.885 1.226
Rh 3.528 0.203 0.750
O 1.897 0.890 1.888
O 1.693 4.880 0.564
O 0.179 3.581 2.372
O 3.411 2.189 0.080
O -0.864 5.308 -0.164
O 4.454 0.462 2.616
O 0.876 2.616 -0.642
O 2.715 3.155 3.094

---

Entry 2:
12
Lattice="-0.337 -3.460 -3.793 -2.059 -1.021 4.603 -7.903 3.737 -2.706" Properties=species:S:1:pos:R:3 comment="RbRu2PtO8 (PBE, optimized geometry)" total_energy_ry_per_atom=-0.4593 formation_energy_uncorrected_ev_per_atom=-0.813 pbc="T T T"
Rb 0.000 0.000 0.000
Ru -3.216 -1.557 -1.784
Ru -7.083 0.813 -0.112
Pt -3.952 1.868 -1.353
O -8.598 1.529 -0.631
O -3.689 -0.095 -0.808
O -3.189 -0.998 -3.515
O -1.701 -2.273 -1.265
O -7.110 0.254 1.619
O -6.610 -0.649 -1.087
O -5.672 1.955 -0.233
O -4.628 -2.699 -1.663

---

Entry 3:
18
Lattice="-0.734 4.217 5.872 -6.244 3.467 1.338 -4.270 -2.017 5.523" Properties=species:S:1:pos:R:3 comment="Rb2RuPt3O12 (PBE, optimized geometry)" total_energy_ry_per_atom=-0.4147 formation_energy_uncorrected_ev_per_atom=-0.707 pbc="T T T"
Rb -7.083 3.568 8.018
Rb -4.166 2.098 4.715
Ru 0.000 0.000 0.000
Pt -0.367 2.108 2.936
Pt -3.122 1.733 0.669
Pt -2.135 -1.009 2.761
O -6.277 0.670 7.517
O -7.842 6.528 8.451
O -10.028 2.673 8.234
O -4.163 4.397 7.726
O -6.621 3.137 11.038
O -7.457 3.949 5.016
O -4.972 4.996 5.216
O -3.407 -0.861 4.283
O -1.220 2.994 4.499
O -7.085 1.270 5.007
O -4.628 2.530 1.695
O -3.791 1.718 7.717

---

Entry 4:
5
Lattice="-1.115 2.203 4.735 -0.183 -5.443 2.489 5.220 0.318 1.081" Properties=species:S:1:pos:R:3 comment="RbPt2SO (PBE, optimized geometry)" total_energy_ry_per_atom=-0.1340 formation_energy_uncorrected_ev_per_atom=2.604 pbc="T T T"
O 1.961 -1.461 4.153
S -0.092 -2.722 1.244
Rb 0.000 0.000 0.000
Pt 2.610 0.159 0.541
Pt -0.558 1.101 2.368

---

Entry 5:
12
Lattice="-2.866 3.654 2.034 -0.865 -0.089 4.995 6.808 4.787 1.450" Properties=species:S:1:pos:R:3 comment="RbPtS2O8 (PBE, optimized geometry)" total_energy_ry_per_atom=-0.4252 formation_energy_uncorrected_ev_per_atom=-1.207 pbc="T T T"
Rb 3.404 2.393 0.725
Pt 0.000 0.000 0.000
S -1.031 3.137 4.663
S 4.109 5.215 3.816
O 3.303 6.527 3.871
O -2.348 2.890 5.241
O -0.166 4.114 5.313
O 3.243 4.238 3.166
O 5.426 5.462 3.238
O 4.253 4.749 5.277
O -1.175 3.603 3.201
O -0.225 1.825 4.607

---

Entry 6:
5
Lattice="4.994 0.000 0.000 0.000 6.356 0.000 0.000 0.000 4.994" Properties=species:S:1:pos:R:3 comment="RbSc2PtO (PBE, optimized geometry)" total_energy_ry_per_atom=-0.3526 formation_energy_uncorrected_ev_per_atom=0.128 pbc="T T T"
Sc 0.000 0.000 2.497
Sc 2.497 0.000 0.000
O 2.497 3.178 2.497
Rb 0.000 3.178 0.000
Pt 0.000 0.000 0.000

---

Entry 7:
9
Lattice="5.109 0.000 0.000 2.554 4.424 0.000 0.000 0.000 6.465" Properties=species:S:1:pos:R:3 comment="RbPtSeO6 (PBE, optimized geometry)" total_energy_ry_per_atom=-0.3846 formation_energy_uncorrected_ev_per_atom=-0.761 pbc="T T T"
Rb 5.109 0.000 6.465
Pt 5.109 2.950 3.232
Se 2.554 1.475 3.232
O 1.046 1.610 2.171
O 1.917 0.101 4.294
O 4.063 1.610 4.294
O 1.683 2.714 4.294
O 3.426 2.714 2.171
O 3.192 0.101 2.171

---

Entry 8:
11
Lattice="-1.969 -3.876 4.032 -2.123 -0.214 -5.532 6.078 -3.036 -1.260" Properties=species:S:1:pos:R:3 comment="Rb2Sm2PtO6 (PBE, optimized geometry)" total_energy_ry_per_atom=-0.4643 formation_energy_uncorrected_ev_per_atom=-2.029 pbc="T T T"
Rb -1.994 -3.284 2.488
Rb -2.098 -0.805 -3.988
Sm 0.968 -2.960 -2.954
Sm 1.019 -4.166 0.194
Pt 3.039 -1.518 -0.630
O 0.991 -5.110 -1.972
O 3.205 -2.276 -2.606
O 0.996 -2.016 -0.788
O 3.252 -3.399 0.330
O -1.218 -4.850 -0.154
O -1.265 -3.727 -3.089